Version A
The following is a GGA-PBE calculation of crystalline RbNa6Cd at its relaxed geometry, from Alexandria.

Values from the calculation:
M_tot = 0.00 μB/cell

Unit cell a=5.426 b=10.627 c=5.392 alpha=90.00 beta=90.00 gamma=90.00
Space group Pmm2 (No. 25)
Asymmetric unit:
Rb (0.000, 0.000, 0.000) [1 per cell]
Na (0.000, 0.296, 0.501) [2 per cell]
Na (0.000, 0.500, 0.000) [1 per cell]
Na (0.500, 0.000, 0.500) [1 per cell]
Na (0.500, 0.296, 0.001) [2 per cell]
Cd (0.500, 0.500, 0.501) [1 per cell]


Version B
The following is a GGA-PBE calculation of crystalline RbNa6Cd at its relaxed geometry, from Alexandria.

Values from the calculation:
M_tot = 0.00 μB/cell

Unit cell a=5.367 b=5.367 c=11.963 alpha=90.00 beta=90.00 gamma=90.00
Space group P4/mmm (No. 123)
Asymmetric unit:
Rb (0.000, 0.000, 0.000) [1 per cell]
Na (0.000, 0.500, 0.350) [4 per cell]
Na (0.500, 0.500, 0.147) [2 per cell]
Cd (0.000, 0.000, 0.500) [1 per cell]


According to the calculations, the structures order from most to least stable as version A, version B.


Version A
The following is a GGA-PBE calculation of crystalline Rb3NaCd at its relaxed geometry, from Alexandria.

Values from the calculation:
M_tot = 0.00 μB/cell

Unit cell a=15.078 b=15.078 c=5.465 alpha=90.00 beta=90.00 gamma=90.00
Space group P4_2/mnm (No. 136)
Asymmetric unit:
Rb (0.041, 0.323, 0.000) [8 per cell]
Rb (0.115, 0.885, 0.500) [4 per cell]
Na (0.168, 0.168, 0.500) [4 per cell]
Cd (0.071, 0.071, 0.000) [4 per cell]


Version B
The following is a GGA-PBE calculation of crystalline Rb3NaCd at its relaxed geometry, from Alexandria.

Values from the calculation:
M_tot = 0.00 μB/cell

Unit cell a=5.021 b=10.975 c=11.450 alpha=93.85 beta=90.01 gamma=103.16
Space group P1 (No. 1)
Asymmetric unit:
Rb (0.000, 0.000, 0.000) [1 per cell]
Rb (0.128, 0.256, 0.437) [1 per cell]
Rb (0.308, 0.618, 0.025) [1 per cell]
Rb (0.459, 0.922, 0.651) [1 per cell]
Rb (0.667, 0.334, 0.786) [1 per cell]
Rb (0.818, 0.638, 0.412) [1 per cell]
Na (0.479, 0.958, 0.289) [1 per cell]
Na (0.648, 0.298, 0.149) [1 per cell]
Cd (0.283, 0.568, 0.669) [1 per cell]
Cd (0.843, 0.688, 0.768) [1 per cell]


According to the calculations, the structures order from most to least stable as version B, version A.


Version A
The following is a GGA-PBE calculation of crystalline Rb2Na2Cd at its relaxed geometry, from Alexandria.

Values from the calculation:
M_tot = 0.00 μB/cell

Unit cell a=9.779 b=16.834 c=6.392 alpha=90.00 beta=90.00 gamma=90.00
Space group Ibam (No. 72)
Asymmetric unit:
Rb (0.180, 0.104, 0.000) [8 per cell]
Na (0.087, 0.336, 0.000) [8 per cell]
Cd (0.000, 0.500, 0.250) [4 per cell]


Version B
The following is a GGA-PBE calculation of crystalline Rb2Na2Cd at its relaxed geometry, from Alexandria.

Values from the calculation:
M_tot = 0.00 μB/cell

Unit cell a=8.676 b=8.676 c=6.519 alpha=90.00 beta=90.00 gamma=90.00
Space group P4/mbm (No. 127)
Asymmetric unit:
Rb (0.185, 0.315, 0.000) [4 per cell]
Na (0.145, 0.645, 0.500) [4 per cell]
Cd (0.000, 0.000, 0.500) [2 per cell]


Version C
The following is a GGA-PBE calculation of crystalline Rb2Na2Cd at its relaxed geometry, from Alexandria.

Values from the calculation:
M_tot = 0.00 μB/cell

Unit cell a=10.442 b=10.442 c=5.323 alpha=90.00 beta=90.00 gamma=90.00
Space group P4/mbm (No. 127)
Asymmetric unit:
Rb (0.167, 0.333, 0.000) [4 per cell]
Na (0.134, 0.634, 0.500) [4 per cell]
Cd (0.000, 0.000, 0.000) [2 per cell]


According to the calculations, the structures order from most to least stable as version A, version B, version C.